This record from Alexandria via LeMat-Bulk describes an optimized crystal structure of BaCrPd. The functional is PBE-GGA.

Unit cell a=8.369 b=3.388 c=10.483 alpha=90.00 beta=90.00 gamma=90.00
Fractional positions:
Ba  0.415  0.250  0.680
Cr  0.572  0.750  0.971
Pd  0.250  0.750  0.903
Pd  0.750  0.750  0.597
Ba  0.085  0.750  0.180
Ba  0.585  0.750  0.320
Cr  0.428  0.250  0.029
Ba  0.915  0.250  0.820
Cr  0.928  0.250  0.471
Pd  0.250  0.250  0.403
Pd  0.750  0.250  0.097
Cr  0.072  0.750  0.529

Computed properties:
- Space group: Pnma, No. 62
- DOS at the Fermi energy: 0.925 states/eV per atom

This record from Alexandria via LeMat-Bulk describes an optimized crystal structure of BaCrPd. The functional is PBE-GGA.

Unit cell a=6.466 b=5.769 c=6.468 alpha=115.68 beta=76.88 gamma=64.33
Fractional positions:
Pd  0.089  0.764  0.373
Ba  0.093  0.048  0.992
Pd  0.757  0.764  0.705
Cr  0.742  0.350  0.721
Cr  0.518  0.350  0.944
Ba  0.470  0.048  0.370

Computed properties:
- Space group: Fmm2, No. 42
- DOS at the Fermi energy: 0.869 states/eV per atom

This record from Alexandria via LeMat-Bulk describes an optimized crystal structure of BaCrPd. The functional is PBE-GGA.

Unit cell a=6.644 b=4.626 c=5.679 alpha=65.95 beta=94.59 gamma=90.06
Fractional positions:
Cr  0.842  0.683  0.485
Ba  0.104  0.979  0.892
Cr  0.714  0.536  0.776
Pd  0.653  0.921  0.007
Ba  0.452  0.240  0.369
Pd  0.904  0.298  0.253

Computed properties:
- Space group: P-1, No. 2
- DOS at the Fermi energy: 0.601 states/eV per atom

This record from Alexandria via LeMat-Bulk describes an optimized crystal structure of BaCrPd. The functional is PBE-GGA.

Unit cell a=11.842 b=4.160 c=6.333 alpha=90.00 beta=90.00 gamma=90.00
Fractional positions:
Ba  0.711  0.250  0.093
Ba  0.211  0.250  0.407
Pd  0.955  0.250  0.371
Cr  0.500  0.000  0.500
Cr  0.000  0.000  0.000
Pd  0.455  0.250  0.129
Ba  0.789  0.750  0.593
Pd  0.045  0.750  0.629
Cr  0.500  0.500  0.500
Cr  0.000  0.500  0.000
Pd  0.545  0.750  0.871
Ba  0.289  0.750  0.907

Computed properties:
- Space group: Pnma, No. 62
- DOS at the Fermi energy: 1.081 states/eV per atom

This record from Alexandria via LeMat-Bulk describes an optimized crystal structure of BaCrPd. The functional is PBE-GGA.

Unit cell a=5.602 b=5.602 c=9.630 alpha=90.00 beta=90.00 gamma=120.00
Fractional positions:
Ba  0.667  0.333  0.750
Ba  0.333  0.667  0.250
Pd  0.000  0.000  0.000
Cr  0.000  0.000  0.250
Cr  0.000  0.000  0.750
Pd  0.000  0.000  0.500

Computed properties:
- Space group: P6_3/mmc, No. 194
- DOS at the Fermi energy: 1.208 states/eV per atom

This record from Alexandria via LeMat-Bulk describes an optimized crystal structure of BaCrPd. The functional is PBE-GGA.

Unit cell a=4.631 b=8.266 c=4.773 alpha=106.78 beta=89.97 gamma=73.74
Fractional positions:
Ba  0.359  0.207  0.416
Pd  0.599  0.729  0.177
Cr  0.187  0.552  0.089
Ba  0.037  0.851  0.739
Pd  0.702  0.522  0.574
Cr  0.784  0.357  0.991

Computed properties:
- Space group: Imm2, No. 44
- DOS at the Fermi energy: 0.665 states/eV per atom

| no. | volume (A^3/atom) | polymorph energy (0 for the lowest one) (meV per atom) | energy of formation (eV/atom) |
| --- | --- | --- | --- |
| 1 | 24.77 | 204.1 | 0.29 |
| 2 | 28.09 | 103.0 | 0.19 |
| 3 | 26.47 | 86.8 | 0.17 |
| 4 | 26.00 | 376.6 | 0.46 |
| 5 | 43.61 | 768.1 | 0.85 |
| 6 | 27.88 | 105.3 | 0.19 |